1.
Entry from Alexandria: a geometry-optimized Be2CdPt structure (GGA-PBE).

The structure in POSCAR format:
```
Be2CdPt
1.0
4.692 -1.568 -2.883
-1.290 4.776 2.883
-3.277 0.067 4.695
Cd Pt Be
1 1 2
Cartesian
0.000 0.000 0.000 Cd
-2.284 2.422 3.789 Pt
-1.266 1.343 2.101 Be
-3.301 3.501 5.477 Be
```

Summary:
Crystal system: orthorhombic
ΔH_f (0 K): 449.3 meV per atom
Total magnetization: 0.00 μB per cell


2.
Entry from Alexandria: a geometry-optimized BeCrAs2Br structure (GGA-PBE).

The structure in POSCAR format:
```
BeCrAs2Br
1.0
-0.403 2.380 -3.895
-4.267 1.192 1.170
1.898 4.369 2.473
Br As Be Cr
1 2 1 1
Cartesian
0.949 2.184 1.236 Br
-2.134 0.596 0.585 As
-0.201 1.190 -1.948 As
-1.386 3.970 -0.126 Be
0.000 0.000 0.000 Cr
```

Summary:
Crystal system: tetragonal
ΔE_f (raw): 0.7228 eV per atom
Total magnetization: 0.99 μB per cell


3.
Entry from Alexandria: a geometry-optimized SmY5Tm structure (GGA-PBE).

The structure in POSCAR format:
```
SmY5Tm
1.0
9.643 0.000 0.000
-4.821 4.364 0.294
0.000 3.933 11.130
Y Tm Sm
10 2 2
Cartesian
8.121 2.950 8.347 Y
1.522 0.983 2.782 Y
3.374 4.801 10.795 Y
-1.448 5.463 6.194 Y
6.565 5.842 9.485 Y
1.448 3.497 0.629 Y
6.269 2.834 5.230 Y
-1.744 2.456 1.939 Y
1.744 4.423 7.504 Y
3.078 3.875 3.920 Y
0.000 0.000 0.000 Tm
0.000 1.967 5.565 Tm
4.768 2.950 8.347 Sm
4.875 0.983 2.782 Sm
```

Summary:
Crystal system: monoclinic
ΔH_f (0 K): 116.6 meV per atom
Total magnetization: 0.00 μB per cell


4.
Entry from Alexandria: a geometry-optimized CaAc4Pb5 structure (GGA-PBE).

The structure in POSCAR format:
```
CaAc4Pb5
1.0
-3.396 -0.002 -1.776
0.556 -3.640 -1.060
-10.326 -7.332 19.753
Pb Ac Ca
5 4 1
Cartesian
-2.374 -2.498 0.407 Pb
-6.583 -5.487 8.458 Pb
-4.480 -3.994 4.436 Pb
-8.685 -6.980 12.480 Pb
-10.792 -8.475 16.510 Pb
-8.325 -5.911 15.924 Ac
-6.213 -4.411 11.884 Ac
-4.113 -2.920 7.868 Ac
-2.002 -1.421 3.829 Ac
0.000 0.000 0.000 Ca
```

Summary:
Crystal system: tetragonal
ΔH_f (0 K): -494.1 meV per atom
Total magnetization: 0.00 μB per cell


> Look up the total magnetization of the third one.

0.00 μB per cell


Repeat the third record exactly.
Entry from Alexandria: a geometry-optimized SmY5Tm structure (GGA-PBE).

The structure in POSCAR format:
```
SmY5Tm
1.0
9.643 0.000 0.000
-4.821 4.364 0.294
0.000 3.933 11.130
Y Tm Sm
10 2 2
Cartesian
8.121 2.950 8.347 Y
1.522 0.983 2.782 Y
3.374 4.801 10.795 Y
-1.448 5.463 6.194 Y
6.565 5.842 9.485 Y
1.448 3.497 0.629 Y
6.269 2.834 5.230 Y
-1.744 2.456 1.939 Y
1.744 4.423 7.504 Y
3.078 3.875 3.920 Y
0.000 0.000 0.000 Tm
0.000 1.967 5.565 Tm
4.768 2.950 8.347 Sm
4.875 0.983 2.782 Sm
```

Summary:
Crystal system: monoclinic
ΔH_f (0 K): 116.6 meV per atom
Total magnetization: 0.00 μB per cell